Material: CaLaMnNbO6
Method: DFT, PBE with a Hubbard U
State: optimized geometry

Properties
- E_tot: -8.176 eV/atom
- Total magnetization: 5.0 μB/f.u.

Cell lengths 6.1783, 6.3560, 9.5232 Å; angles 90.00, 129.92, 90.00 degrees
Last column: nearest neighbours and their distance in Å.
Space group Pc (No. 7)
Asymmetric unit:
1 Ca 0.0000 0.1486 0.0000  6 O 2.37-2.63
2 La 0.5017 0.1418 0.5007  8 O 2.44-2.69
3 Mn 0.7694 0.3159 0.2480  4 O 2.04-2.09
4 Nb 0.1821 0.3033 0.7505  5 O 1.87-2.07
5 O 0.2860 0.4206 0.2508  1 Nb 1.87
6 O 0.3852 0.2250 0.0098  1 Nb 1.98, 1 Mn 2.05
7 O 0.4474 0.1146 0.7590  1 Nb 1.99
8 O 0.8544 0.3741 0.7503  1 Mn 2.04, 1 Nb 2.07
9 O 0.8811 0.2257 0.4926  1 Nb 1.97, 1 Mn 2.04
10 O 0.9771 0.0587 0.2439  1 Mn 2.09